(1)
Entry from Alexandria via LeMat-Bulk: a geometry-optimized OsPd structure (PBE).

Results
Formation energy from the elements (meV/atom): 1095
Size of the total moment (Bohr magnetons per cell): 0.0
VASP energy (eV per atom): -7.117

Cell: 9.866 9.866 3.646 Å, 90.00 90.00 90.00°
Space group I4/m (No. 87)
One atom of each set of equivalent atoms:
Os 0.193 0.703 0.000 [8 per cell]
Pd 0.028 0.802 0.500 [8 per cell]

***

(2)
Entry from Alexandria via LeMat-Bulk: a geometry-optimized OsPd structure (PBE).

Results
Formation energy from the elements (meV/atom): 310
Size of the total moment (Bohr magnetons per cell): 0.0
VASP energy (eV per atom): -7.902

Cell: 4.231 2.721 10.388 Å, 90.00 90.00 90.00°
Space group Amm2 (No. 38)
One atom of each set of equivalent atoms:
Os 0.000 0.000 0.000 [2 per cell]
Os 0.500 0.000 0.410 [2 per cell]
Pd 0.000 0.000 0.261 [2 per cell]
Pd 0.500 0.000 0.659 [2 per cell]

***

(3)
Entry from Alexandria via LeMat-Bulk: a geometry-optimized OsPd structure (PBE).

Results
Formation energy from the elements (meV/atom): 1198
Size of the total moment (Bohr magnetons per cell): 0.0
VASP energy (eV per atom): -7.013

Cell: 10.0819 10.0819 3.6209 Å, 90.00 90.00 120.00°
Space group P6_3/m (No. 176)
One atom of each set of equivalent atoms:
Os 0.0042 0.4282 0.2500 [6 per cell]
Pd 0.2140 0.4857 0.7500 [6 per cell]

***

> The lowest formation energy from the elements belongs to which entry?

number 2

***

> Which formula does entry 2 have?

OsPd

***

> Which value of size of the total moment does entry 1 give?

0.0 Bohr magnetons per cell